MgIr: relaxed, PBE.

Output
DFT total energy ... -4.31 eV/atom
Fermi-level density of states ... 0.94 states/eV per atom
Density ... 8173 kg/m³
ΔE_f ... 0.9221 eV/atom

Geometry as POSCAR:
```
MgIr
1.0
4.454 0.000 0.000
-2.227 3.857 0.000
0.000 0.000 5.121
Mg Ir
2 2
Direct
0.333 0.667 0.250
0.667 0.333 0.750
0.333 0.667 0.750
0.667 0.333 0.250
```